# 1
# Sr2TaAu

Sr2TaAu after structural relaxation (PBE-GGA, Alexandria via LeMat-Bulk).

abc: 5.990 5.990 5.990
angles: 137.50 128.95 68.54
Sites, in units of the cell vectors:
Sr: 0.229 0.229 0.000
Sr: 0.771 0.771 0.000
Ta: 0.500 0.000 0.500
Au: 0.000 0.500 0.500

## Properties
* size of the total moment: 2.5 Bohr magnetons per cell
* final energy: -0.293 Ry/atom
* energy relative to the elements: 638 meV/atom
* ΔE to the lowest computed polymorph: 369 meV per atom
* space group: Immm

=====

# 2
# SrTaAu

SrTaAu after structural relaxation (PBE-GGA, Alexandria via LeMat-Bulk).

abc: 6.865 6.865 6.865
angles: 151.60 151.60 40.60
Sites, in units of the cell vectors:
Sr: 0.000 0.000 0.000
Ta: 0.697 0.697 0.000
Au: 0.307 0.307 0.000

## Properties
* size of the total moment: 0.0 Bohr magnetons per cell
* final energy: -0.391 Ry/atom
* energy relative to the elements: 284 meV/atom
* ΔE to the lowest computed polymorph: 352 meV per atom
* space group: I4mm

=====

# 3
# Sr2TaAu

Sr2TaAu after structural relaxation (PBE-GGA, Alexandria via LeMat-Bulk).

abc: 6.207 6.207 6.207
angles: 135.60 135.60 64.59
Sites, in units of the cell vectors:
Sr: 0.000 0.000 0.000
Sr: 0.750 0.250 0.500
Ta: 0.250 0.750 0.500
Au: 0.500 0.500 0.000

## Properties
* size of the total moment: 3.6 Bohr magnetons per cell
* final energy: -0.292 Ry/atom
* energy relative to the elements: 648 meV/atom
* ΔE to the lowest computed polymorph: 380 meV per atom
* space group: I-4m2